Entry 1:
HgBPdRh2 after structural relaxation, computed with PBE-GGA.

a = 4.170 Å, b = 4.170 Å, c = 4.224 Å
α = 90.00°, β = 90.00°, γ = 90.00°
Positions (direct):
B (0.000, 0.000, 0.000)
Rh (0.000, 0.500, 0.000)
Rh (0.500, 0.000, 0.000)
Hg (0.500, 0.500, 0.500)
Pd (0.000, 0.000, 0.500)

Results
SG: P4/mmm, No. 123
ΔE_f (eV/f.u.): -0.55
Raw total energy (eV/atom): -5.49
Total moment (μB/f.u.): 0.0



Entry 2:
Mg3In2Ag4 after structural relaxation, computed with PBE-GGA.

a = 4.792 Å, b = 4.793 Å, c = 8.814 Å
α = 89.99°, β = 90.00°, γ = 119.99°
Positions (direct):
Mg (0.334, 0.668, 0.575)
Mg (0.000, 0.000, 0.000)
Mg (0.666, 0.332, 0.425)
In (0.333, 0.665, 0.226)
In (0.667, 0.335, 0.774)
Ag (0.666, 0.332, 0.101)
Ag (0.001, 0.002, 0.659)
Ag (0.999, 0.998, 0.341)
Ag (0.334, 0.668, 0.899)

Results
SG: C2/m, No. 12
ΔE_f (eV/f.u.): -1.29
Raw total energy (eV/atom): -2.55
Total moment (μB/f.u.): 0.0



Question: Which formula does entry 1 have?
Answer: HgBPdRh2